Entry from Alexandria: a relaxed VBiRhCl crystal (PBE-GGA).

The structure in CIF format:
```
data_VBiRhCl
_chemical_formula_sum 'V1 Bi1 Rh1 Cl1'
_space_group_name_H-M_alt 'P 1'
_space_group_IT_number 1
_cell_length_a 3.047
_cell_length_b 3.534
_cell_length_c 9.533
_cell_angle_alpha 100.51
_cell_angle_beta 90.18
_cell_angle_gamma 115.37
loop_
_space_group_symop_operation_xyz
'x,y,z'
loop_
_atom_site_label
_atom_site_type_symbol
_atom_site_fract_x
_atom_site_fract_y
_atom_site_fract_z
V1 V 0.000 0.000 0.000
Bi1 Bi 0.500 0.997 0.410
Rh1 Rh 0.797 0.593 0.156
Cl1 Cl 0.369 0.740 0.816
```

Calculated values
The value obtained for the density of states at the Fermi level is 0.857 states/eV per atom. The calculation puts the raw total energy at -5.863 eV/atom. The calculation puts the calculated volume at 90.8 Å³ per cell. As for the total magnetization: 0.003 μB per formula unit. The value obtained for the uncorrected formation energy is -0.314 eV/atom.

=====

Entry from Alexandria: a relaxed VBiRhCl crystal (PBE-GGA).

The structure in CIF format:
```
data_VBiRhCl
_chemical_formula_sum 'V1 Bi1 Rh1 Cl1'
_space_group_name_H-M_alt 'P 1'
_space_group_IT_number 1
_cell_length_a 3.044
_cell_length_b 3.285
_cell_length_c 8.728
_cell_angle_alpha 79.36
_cell_angle_beta 89.87
_cell_angle_gamma 90.00
loop_
_space_group_symop_operation_xyz
'x,y,z'
loop_
_atom_site_label
_atom_site_type_symbol
_atom_site_fract_x
_atom_site_fract_y
_atom_site_fract_z
V1 V 0.000 0.000 0.000
Bi1 Bi 0.997 0.810 0.388
Rh1 Rh 0.499 0.422 0.158
Cl1 Cl 0.501 0.102 0.792
```

Calculated values
The value obtained for the density of states at the Fermi level is 0.782 states/eV per atom. The calculation puts the raw total energy at -5.933 eV/atom. The calculation puts the calculated volume at 85.8 Å³ per cell. As for the total magnetization: 1.022 μB per formula unit. The value obtained for the uncorrected formation energy is -0.383 eV/atom.

=====

Entry from Alexandria: a relaxed VBiRhCl crystal (PBE-GGA).

The structure in CIF format:
```
data_VBiRhCl
_chemical_formula_sum 'V2 Bi2 Rh2 Cl2'
_space_group_name_H-M_alt 'C 1 m 1'
_space_group_IT_number 8
_cell_length_a 4.807
_cell_length_b 4.801
_cell_length_c 7.458
_cell_angle_alpha 90.00
_cell_angle_beta 90.08
_cell_angle_gamma 90.00
loop_
_space_group_symop_operation_xyz
'x,y,z'
'x,-y,z'
'x+1/2,y+1/2,z'
'x+1/2,-y+1/2,z'
loop_
_atom_site_label
_atom_site_type_symbol
_atom_site_fract_x
_atom_site_fract_y
_atom_site_fract_z
V1 V 0.000 0.000 0.000
Bi1 Bi 0.001 0.500 0.252
Rh1 Rh 0.000 0.500 0.876
Cl1 Cl 0.499 0.500 0.671
```

Calculated values
The value obtained for the density of states at the Fermi level is 0.791 states/eV per atom. The calculation puts the raw total energy at -5.684 eV/atom. The calculation puts the calculated volume at 172.1 Å³ per cell. As for the total magnetization: 1.282 μB per formula unit. The value obtained for the uncorrected formation energy is -0.135 eV/atom.

=====

Entry from Alexandria: a relaxed VBiRhCl crystal (PBE-GGA).

The structure in CIF format:
```
data_VBiRhCl
_chemical_formula_sum 'V2 Bi2 Rh2 Cl2'
_space_group_name_H-M_alt 'C 1 m 1'
_space_group_IT_number 8
_cell_length_a 5.025
_cell_length_b 4.343
_cell_length_c 8.760
_cell_angle_alpha 90.00
_cell_angle_beta 103.94
_cell_angle_gamma 90.00
loop_
_space_group_symop_operation_xyz
'x,y,z'
'x,-y,z'
'x+1/2,y+1/2,z'
'x+1/2,-y+1/2,z'
loop_
_atom_site_label
_atom_site_type_symbol
_atom_site_fract_x
_atom_site_fract_y
_atom_site_fract_z
V1 V 0.000 0.000 0.000
Bi1 Bi 0.194 0.000 0.364
Rh1 Rh 0.162 0.500 0.138
Cl1 Cl 0.381 0.500 0.746
```

Calculated values
The value obtained for the density of states at the Fermi level is 0.350 states/eV per atom. The calculation puts the raw total energy at -5.864 eV/atom. The calculation puts the calculated volume at 185.5 Å³ per cell. As for the total magnetization: 0.000 μB per formula unit. The value obtained for the uncorrected formation energy is -0.315 eV/atom.